A geometry-optimized Mn2AlSe structure, computed with GGA-PBE.

Values from the calculation:
calculated density: 5.3 g/cm³
offset from the most stable computed form: 242 meV per atom

```
8
Lattice="7.0648 0.0000 0.0000 0.0000 7.0648 0.0000 3.5324 3.5324 2.7329" Properties=species:S:1:pos:R:3 pbc="T T T"
Al 3.5324 3.5324 0.0000
Mn 8.8310 8.9369 2.0497
Mn 5.2986 5.1927 2.0497
Mn 5.4045 1.7662 0.6832
Se 0.0000 0.0000 0.0000
Mn 1.6603 5.2986 0.6832
Se 7.0648 3.5324 1.3665
Al 3.5324 7.0648 1.3665
```